Record 1
A plane-wave DFT calculation with PBE was carried out for a relaxed CrCu2Ni2 crystal.

Computed properties:
- excess energy over the best structure of this formula in the dataset (meV per atom) = 2.9
- formation energy (kJ per mole of atoms) = 28

Cell: 6.7705 6.7705 2.7005 Å, 90.00 90.00 90.00°
Last column: nearest neighbours and their distance in Å.
Space group P4/mbm (No. 127)
Asymmetric unit:
Cr (0.0000, 0.0000, 0.0000)  4 Cu 2.67, 2 Cr 2.70, 8 Ni 2.85
Cu (0.1272, 0.3728, 0.0000)  6 Ni 2.36-2.45, 1 Cu 2.44
Ni (0.1711, 0.6711, 0.5000)  6 Cu 2.36-2.45



Record 2
A plane-wave DFT calculation with PBE was carried out for a relaxed LiFe3Pb crystal.

Computed properties:
- excess energy over the best structure of this formula in the dataset (meV per atom) = 0.0
- formation energy (kJ per mole of atoms) = 87

Cell: 4.2358 4.2358 4.2358 Å, 90.00 90.00 90.00°
Last column: nearest neighbours and their distance in Å.
Space group Pm-3m (No. 221)
Asymmetric unit:
Li (0.0000, 0.0000, 0.0000)  6 Fe 2.12
Fe (0.0000, 0.0000, 0.5000)  2 Li 2.12
Pb (0.5000, 0.5000, 0.5000)  12 Fe 3.00



Record 3
A plane-wave DFT calculation with PBE was carried out for a relaxed Na5Fe2Cl12 crystal.

Computed properties:
- raw formation energy (meV/atom) = -1181

Cell: 15.2948 7.1664 9.6090 Å, 90.00 110.53 90.00°
Last column: nearest neighbours and their distance in Å.
Space group C2/m (No. 12)
Asymmetric unit:
Na (0.0000, 0.0000, 0.0000)  4 Cl 2.78
Na (0.1690, 0.5000, 0.2977)  4 Cl 2.70-2.93
Na (0.2137, 0.5000, 0.9177)  5 Cl 2.75-2.94
Fe (0.0000, 0.2443, 0.5000)  6 Cl 2.25-2.50
Cl (0.0267, 0.5000, 0.6871)  2 Fe 2.50
Cl (0.0310, 0.0000, 0.6870)  2 Fe 2.43
Cl (0.1486, 0.2484, 0.0791)  4 Na 2.70-2.78
Cl (0.1521, 0.2507, 0.5282)  1 Fe 2.25



Record 4
A plane-wave DFT calculation with PBE was carried out for a relaxed Pm7SmMg2 crystal.

Computed properties:
- formation energy (kJ per mole of atoms) = 51

Cell: 8.8456 16.5670 5.3930 Å, 90.00 90.00 90.00°
Last column: nearest neighbours and their distance in Å.
Space group Cmmm (No. 65)
Asymmetric unit:
Pm (0.0000, 0.0000, 0.0000)  2 Mg 3.35, 4 Pm 3.38
Pm (0.0000, 0.2862, 0.5000)  2 Mg 3.04
Pm (0.1839, 0.3850, 0.0000)  2 Mg 3.15-3.44, 2 Pm 3.25-3.38
Sm (0.0000, 0.5000, 0.5000)  10 Pm 3.54-3.68
Mg (0.0000, 0.2021, 0.0000)  5 Pm 3.04-3.35



So what do the calculations give for density of states at the Fermi level? Going down the list: 1.00 1.25 0.43 1.52 states/eV per atom.